Here is a relaxed Tl2PW crystal from Alexandria via LeMat-Bulk. Energies are from PBE.

Calculated values
Raw total energy in eV per cell: -42.13
Magnetic moment in μB/cell: 0.00
ΔE_f in eV/f.u.: 2.03
Distance to the lowest polymorph of the same formula in meV per atom: 292

abc: 12.4233 3.1285 5.0376
angles: 90.00 112.50 90.00
With the nearest neighbours (Å) after each atom.
Space group Cm (No. 8)
Asymmetric unit:
Tl  0.0000  0.0000  0.0000 (multiplicity 2)  4 W 3.01, 2 Tl 3.13, 1 P 3.31
Tl  0.2033  0.0000  0.6937 (multiplicity 2)  4 Tl 3.13-3.44, 4 P 3.15-3.20, 2 W 3.25
P  0.3025  0.5000  0.2936 (multiplicity 2)  2 W 2.35
W  0.4553  0.0000  0.4578 (multiplicity 2)  2 P 2.35